Run A
Computed, not measured: a geometry-optimized Sc2Cd2Hg structure at the PBE level of DFT.

Lattice parameters (Å, degrees): 7.960 7.960 3.808 90.00 90.00 90.00
Element x y z (fractional)
1 Sc 0.348 0.848 0.000
2 Sc 0.848 0.652 0.000
3 Sc 0.652 0.152 0.000
4 Sc 0.152 0.348 0.000
5 Hg 0.000 0.000 0.000
6 Hg 0.500 0.500 0.000
7 Cd 0.145 0.645 0.500
8 Cd 0.645 0.855 0.500
9 Cd 0.855 0.355 0.500
10 Cd 0.355 0.145 0.500

Values from the calculation:
DOS at the Fermi energy ... 1.410 states/eV/atom



Run B
Computed, not measured: a geometry-optimized Sc2Cd2Hg structure at the PBE level of DFT.

Lattice parameters (Å, degrees): 7.689 7.689 3.817 90.00 90.00 90.00
Element x y z (fractional)
1 Sc 0.165 0.665 0.500
2 Sc 0.665 0.835 0.500
3 Sc 0.835 0.335 0.500
4 Sc 0.335 0.165 0.500
5 Hg 0.000 0.000 0.000
6 Hg 0.500 0.500 0.000
7 Cd 0.367 0.867 0.000
8 Cd 0.867 0.633 0.000
9 Cd 0.633 0.133 0.000
10 Cd 0.133 0.367 0.000

Values from the calculation:
DOS at the Fermi energy ... 0.892 states/eV/atom



Stability, descending: run B, run A



Run A
Computed, not measured: a geometry-optimized Sc2Cd2Hg structure at the PBE level of DFT.

Lattice parameters (Å, degrees): 5.601 5.998 8.102 111.72 110.22 90.00
Element x y z (fractional)
1 Sc 0.320 0.479 0.640
2 Sc 0.680 0.521 0.360
3 Sc 0.180 0.838 0.360
4 Sc 0.820 0.162 0.640
5 Cd 0.893 0.758 0.786
6 Cd 0.107 0.242 0.214
7 Cd 0.607 0.972 0.214
8 Cd 0.393 0.028 0.786
9 Hg 0.750 0.500 0.000
10 Hg 0.250 0.500 0.000

Values from the calculation:
DOS at the Fermi energy ... 1.005 states/eV/atom



Run B
Computed, not measured: a geometry-optimized Sc2Cd2Hg structure at the PBE level of DFT.

Lattice parameters (Å, degrees): 4.306 4.306 7.454 73.21 73.21 90.00
Element x y z (fractional)
1 Sc 0.750 0.250 0.500
2 Sc 0.250 0.750 0.500
3 Hg 0.000 0.000 0.000
4 Cd 0.401 0.401 0.198
5 Cd 0.599 0.599 0.802

Values from the calculation:
DOS at the Fermi energy ... 0.843 states/eV/atom



Stability, descending: run A, run B



Run A
Computed, not measured: a geometry-optimized Sc4CdHg structure at the PBE level of DFT.

Lattice parameters (Å, degrees): 4.802 4.803 8.353 73.31 73.30 60.01
Element x y z (fractional)
1 Sc 0.626 0.626 0.122
2 Sc 0.374 0.374 0.878
3 Sc 0.124 0.124 0.629
4 Sc 0.876 0.876 0.371
5 Cd 0.500 0.500 0.500
6 Hg 0.000 0.000 0.000

Values from the calculation:
DOS at the Fermi energy ... 0.967 states/eV/atom



Run B
Computed, not measured: a geometry-optimized Sc4CdHg structure at the PBE level of DFT.

Lattice parameters (Å, degrees): 5.854 5.854 5.854 60.00 60.00 60.00
Element x y z (fractional)
1 Sc 0.875 0.375 0.375
2 Sc 0.375 0.375 0.875
3 Sc 0.375 0.875 0.375
4 Sc 0.375 0.375 0.375
5 Cd 0.750 0.750 0.750
6 Hg 0.000 0.000 0.000

Values from the calculation:
DOS at the Fermi energy ... 1.118 states/eV/atom



Run C
Computed, not measured: a geometry-optimized Sc4CdHg structure at the PBE level of DFT.

Lattice parameters (Å, degrees): 3.345 6.627 8.129 120.39 78.13 75.38
Element x y z (fractional)
1 Sc 0.832 0.507 0.829
2 Sc 0.328 0.012 0.331
3 Sc 0.168 0.493 0.171
4 Sc 0.672 0.988 0.669
5 Cd 0.000 0.000 0.000
6 Hg 0.500 0.500 0.500

Values from the calculation:
DOS at the Fermi energy ... 0.979 states/eV/atom



Stability, descending: run C, run A, run B



Run A
Computed, not measured: a geometry-optimized ScCd2Hg5 structure at the PBE level of DFT.

Lattice parameters (Å, degrees): 4.981 7.687 11.534 90.00 90.00 108.90
Element x y z (fractional)
1 Sc 0.753 0.505 0.750
2 Sc 0.247 0.495 0.250
3 Cd 0.862 0.725 0.370
4 Cd 0.862 0.725 0.130
5 Cd 0.138 0.275 0.630
6 Cd 0.138 0.275 0.870
7 Hg 0.936 0.872 0.888
8 Hg 0.936 0.872 0.612
9 Hg 0.324 0.649 0.491
10 Hg 0.324 0.649 0.009
11 Hg 0.639 0.277 0.250
12 Hg 0.361 0.723 0.750
13 Hg 0.676 0.351 0.509
14 Hg 0.676 0.351 0.991
15 Hg 0.064 0.128 0.112
16 Hg 0.064 0.128 0.388

Values from the calculation:
DOS at the Fermi energy ... 0.412 states/eV/atom



Run B
Computed, not measured: a geometry-optimized ScCd2Hg5 structure at the PBE level of DFT.

Lattice parameters (Å, degrees): 6.227 6.227 6.227 109.00 109.00 110.42
Element x y z (fractional)
1 Sc 0.779 0.778 0.000
2 Cd 0.278 0.778 0.500
3 Cd 0.778 0.278 0.500
4 Hg 0.278 0.278 0.501
5 Hg 0.278 0.778 0.000
6 Hg 0.778 0.278 0.000
7 Hg 0.777 0.778 0.499
8 Hg 0.277 0.277 0.000

Values from the calculation:
DOS at the Fermi energy ... 0.644 states/eV/atom



Stability, descending: run B, run A



Run A
Computed, not measured: a geometry-optimized ScCd4Hg3 structure at the PBE level of DFT.

Lattice parameters (Å, degrees): 4.272 4.595 22.643 155.28 95.41 90.00
Element x y z (fractional)
1 Sc 0.500 0.000 0.000
2 Cd 0.623 0.608 0.247
3 Cd 0.377 0.392 0.753
4 Cd 0.877 0.900 0.754
5 Cd 0.123 0.100 0.246
6 Hg 0.000 0.500 0.000
7 Hg 0.250 0.748 0.500
8 Hg 0.750 0.252 0.500

Values from the calculation:
DOS at the Fermi energy ... 0.310 states/eV/atom



Run B
Computed, not measured: a geometry-optimized ScCd4Hg3 structure at the PBE level of DFT.

Lattice parameters (Å, degrees): 5.975 6.118 6.718 117.09 116.41 90.00
Element x y z (fractional)
1 Sc 0.841 0.500 0.000
2 Hg 0.819 0.252 0.504
3 Hg 0.838 0.000 0.000
4 Hg 0.315 0.748 0.496
5 Cd 0.823 0.751 0.503
6 Cd 0.321 0.249 0.497
7 Cd 0.347 0.256 0.000
8 Cd 0.347 0.744 0.000

Values from the calculation:
DOS at the Fermi energy ... 0.664 states/eV/atom



Stability, descending: run A, run B



Run A
Computed, not measured: a geometry-optimized ScCdHg3 structure at the PBE level of DFT.

Lattice parameters (Å, degrees): 6.297 5.101 7.595 109.62 85.45 90.00
Element x y z (fractional)
1 Sc 0.173 0.394 0.787
2 Sc 0.827 0.606 0.213
3 Cd 0.500 0.196 0.393
4 Cd 0.500 0.804 0.607
5 Hg 0.759 0.004 0.008
6 Hg 0.241 0.996 0.992
7 Hg 0.337 0.596 0.191
8 Hg 0.663 0.404 0.809
9 Hg 0.012 0.800 0.600
10 Hg 0.988 0.200 0.400

Values from the calculation:
DOS at the Fermi energy ... 0.579 states/eV/atom



Run B
Computed, not measured: a geometry-optimized ScCdHg3 structure at the PBE level of DFT.

Lattice parameters (Å, degrees): 5.327 5.327 5.327 90.00 90.00 90.00
Element x y z (fractional)
1 Sc 0.500 0.500 0.500
2 Hg 0.000 0.500 0.000
3 Hg 0.000 0.000 0.500
4 Hg 0.500 0.000 0.000
5 Cd 0.000 0.000 0.000

Values from the calculation:
DOS at the Fermi energy ... 1.164 states/eV/atom



Stability, descending: run A, run B